Computed, not measured: a relaxed Tc2WSe crystal at the PBEsol level of DFT.

a = 2.9643 Å, b = 4.3938 Å, c = 4.5085 Å
α = 90.00°, β = 90.00°, γ = 90.00°
Last column: nearest neighbours and their distance in Å.
Element x y z (fractional)
Tc1 0.5000 0.0000 0.5000  4 Se 2.65, 6 Tc 2.70-2.96
Tc2 0.0000 0.0000 0.0000  4 W 2.65, 6 Tc 2.70-2.96
W1 0.5000 0.5000 0.0000  4 Tc 2.65, 4 Se 2.70, 2 W 2.96
Se1 0.0000 0.5000 0.5000  4 Tc 2.65, 4 W 2.70, 2 Se 2.96

The energy relative to the elements, uncorrected is 0.3342 eV/atom. As for the density of states at the Fermi level: 3.47 states/eV per cell.